1.
Sr6Te3Se2Br PBE-GGA optimized geometry; V = 413 Å³ per cell
1.0
10.009 -2.303 0.000
10.009 2.303 0.000
-2.035 0.000 8.966
Sr Te Se Br
6 3 2 1
Cartesian
-0.400 0.000 2.315 Sr
4.746 0.000 8.084 Sr
5.735 0.000 3.807 Sr
12.248 0.000 5.159 Sr
13.237 0.000 0.882 Sr
18.384 0.000 6.651 Sr
1.539 0.000 7.487 Te
8.992 0.000 4.483 Te
16.445 0.000 1.479 Te
2.658 0.000 2.975 Se
15.326 0.000 5.990 Se
10.009 0.000 0.000 Br

***

2.
SrTeSeBr2 PBE-GGA optimized geometry; V = 207 Å³ per cell; energy relative to the lowest polymorph listed for this composition = 202 meV/atom
1.0
5.749 0.000 0.000
0.000 5.749 0.000
0.000 0.000 6.274
Sr Te Se Br
1 1 1 2
Cartesian
0.000 0.000 0.000 Sr
2.875 2.875 3.137 Te
0.000 0.000 3.137 Se
0.000 2.875 0.000 Br
2.875 0.000 0.000 Br

***

3.
SrTeSeBr2 PBE-GGA optimized geometry; V = 182 Å³ per cell; energy relative to the lowest polymorph listed for this composition = 0 meV/atom
1.0
5.720 0.000 0.000
0.000 5.720 0.000
0.000 0.000 5.561
Sr Te Se Br
1 1 1 2
Cartesian
0.000 0.000 0.000 Sr
2.860 2.860 2.780 Te
2.860 2.860 0.000 Se
0.000 2.860 2.780 Br
2.860 0.000 2.780 Br

***

4.
SrTlSeBr PBE-GGA optimized geometry; V = 471 Å³ per cell; energy relative to the lowest polymorph listed for this composition = 174 meV/atom
1.0
7.781 0.000 0.000
0.000 7.781 0.000
0.000 0.000 7.781
Sr Tl Se Br
4 4 4 4
Cartesian
0.000 0.000 0.000 Sr
0.000 3.890 3.890 Sr
3.890 0.000 3.890 Sr
3.890 3.890 0.000 Sr
0.000 0.000 3.890 Tl
0.000 3.890 0.000 Tl
3.890 0.000 0.000 Tl
3.890 3.890 3.890 Tl
1.945 1.945 1.945 Se
1.945 5.836 5.836 Se
5.836 1.945 5.836 Se
5.836 5.836 1.945 Se
1.945 1.945 5.836 Br
1.945 5.836 1.945 Br
5.836 1.945 1.945 Br
5.836 5.836 5.836 Br

***

5.
SrTlSeBr PBE-GGA optimized geometry; V = 435 Å³ per cell; energy relative to the lowest polymorph listed for this composition = 0 meV/atom
1.0
4.490 0.000 0.000
-2.245 3.889 0.000
0.000 0.000 24.885
Sr Tl Se Br
3 3 3 3
Cartesian
0.000 0.000 0.000 Sr
0.000 2.592 16.590 Sr
2.245 1.296 8.295 Sr
0.000 0.000 4.799 Tl
0.000 2.592 21.389 Tl
2.245 1.296 13.094 Tl
0.000 0.000 14.910 Se
0.000 2.592 6.616 Se
2.245 1.296 23.205 Se
0.000 0.000 10.056 Br
0.000 2.592 1.761 Br
2.245 1.296 18.351 Br

***

6.
SrTlSe2Br PBE-GGA optimized geometry; V = 211 Å³ per cell; energy relative to the lowest polymorph listed for this composition = 101 meV/atom
1.0
5.957 0.000 0.000
0.000 5.957 0.000
0.000 0.000 5.945
Sr Tl Se Br
1 1 2 1
Cartesian
0.000 0.000 0.000 Sr
2.979 2.979 2.972 Tl
0.000 2.979 0.000 Se
2.979 0.000 0.000 Se
0.000 0.000 2.972 Br

***

7.
SrTlSe2Br PBE-GGA optimized geometry; V = 166 Å³ per cell; energy relative to the lowest polymorph listed for this composition = 0 meV/atom
1.0
5.402 0.000 0.000
0.000 5.402 0.000
0.000 0.000 5.700
Sr Tl Se Br
1 1 2 1
Cartesian
0.000 0.000 0.000 Sr
2.701 2.701 2.850 Tl
0.000 2.701 2.850 Se
2.701 0.000 2.850 Se
2.701 2.701 0.000 Br

***

8.
SrTlSe2Br PBE-GGA optimized geometry; V = 190 Å³ per cell; energy relative to the lowest polymorph listed for this composition = 345 meV/atom
1.0
5.243 0.000 0.000
0.000 5.243 0.000
0.000 0.000 6.902
Sr Tl Se Br
1 1 2 1
Cartesian
0.000 0.000 0.000 Sr
0.000 0.000 3.451 Tl
0.000 2.622 3.451 Se
2.622 0.000 3.451 Se
2.622 2.622 0.000 Br

***

9.
SrVSeBr2 PBE-GGA optimized geometry; V = 137 Å³ per cell; energy relative to the lowest polymorph listed for this composition = 0 meV/atom
1.0
5.107 0.000 0.000
0.000 5.107 0.000
0.000 0.000 5.264
Sr V Se Br
1 1 1 2
Cartesian
0.000 0.000 0.000 Sr
2.554 2.554 2.632 V
2.554 2.554 0.000 Se
0.000 2.554 2.632 Br
2.554 0.000 2.632 Br

***

10.
SrVSeBr2 PBE-GGA optimized geometry; V = 197 Å³ per cell; energy relative to the lowest polymorph listed for this composition = 854 meV/atom
1.0
5.710 0.000 0.000
0.000 5.710 0.000
0.000 0.000 6.038
Sr V Se Br
1 1 1 2
Cartesian
0.000 0.000 0.000 Sr
2.855 2.855 3.019 V
0.000 0.000 3.019 Se
0.000 2.855 0.000 Br
2.855 0.000 0.000 Br

***

11.
SrWSe2Br PBE-GGA optimized geometry; V = 133 Å³ per cell; energy relative to the lowest polymorph listed for this composition = 0 meV/atom
1.0
4.935 0.000 0.000
0.000 4.935 0.000
0.000 0.000 5.477
Sr W Se Br
1 1 2 1
Cartesian
0.000 0.000 0.000 Sr
2.468 2.468 2.739 W
0.000 2.468 2.739 Se
2.468 0.000 2.739 Se
2.468 2.468 0.000 Br

***

12.
SrWSe2Br PBE-GGA optimized geometry; V = 190 Å³ per cell; energy relative to the lowest polymorph listed for this composition = 1444 meV/atom
1.0
5.841 0.000 0.000
0.000 5.841 0.000
0.000 0.000 5.567
Sr W Se Br
1 1 2 1
Cartesian
0.000 0.000 0.000 Sr
2.921 2.921 2.784 W
0.000 2.921 0.000 Se
2.921 0.000 0.000 Se
0.000 0.000 2.784 Br

***

These records have ρ values of 4.604, 3.635, 4.144, 6.357, 5.169, 4.170, 5.289, 4.636, 4.564, 3.183, 6.340, 4.452 g cm⁻³, in the order they appear.
These records have formation energy (no corrections) values of -1794, -425, -627, -1291, -1465, -594, -695, -350, -1074, -219, -526, 918 meV/atom, in the order they appear.